[1]
# GGA-PBE Li2Ac3AlPd6, optimized geometry
# Calculated formation energy = -691 meV per atom
# Volume = 268.1 Å³/f.u.
# Calculated density = 8.43 g/cm³
# Fermi-level density of states = 4.62 states/eV/cell
# E = -4.9451 eV per atom
data_Li2Ac3AlPd6
_chemical_formula_sum 'Li2 Ac3 Al1 Pd6'
_space_group_name_H-M_alt 'P -3 m 1'
_space_group_IT_number 164
_space_group_name_Hall '-P 3 2"'
_cell_length_a 5.9693
_cell_length_b 5.9693
_cell_length_c 8.6880
_cell_angle_alpha 90.00
_cell_angle_beta 90.00
_cell_angle_gamma 120.00
loop_
_atom_site_label
_atom_site_fract_x
_atom_site_fract_y
_atom_site_fract_z
Li1 0.3333 0.6667 0.0335
Ac1 0.0000 0.0000 0.0000
Ac2 0.3333 0.6667 0.6171
Al1 0.0000 0.0000 0.5000
Pd1 0.1730 0.3460 0.2829

---

[2]
# GGA-PBE LiAc2Al12Pd3, optimized geometry
# Calculated formation energy = -47 meV per atom
# Volume = 435.9 Å³/f.u.
# Calculated density = 4.21 g/cm³
# Fermi-level density of states = 29.70 states/eV/cell
# E = -3.9706 eV per atom
data_LiAc2Al12Pd3
_chemical_formula_sum 'Li3 Ac6 Al36 Pd9'
_space_group_name_H-M_alt 'R -3 m'
_space_group_IT_number 166
_space_group_name_Hall '-R 3 2"'
_cell_length_a 9.1444
_cell_length_b 9.1444
_cell_length_c 18.0573
_cell_angle_alpha 90.00
_cell_angle_beta 90.00
_cell_angle_gamma 120.00
loop_
_atom_site_label
_atom_site_fract_x
_atom_site_fract_y
_atom_site_fract_z
Li1 0.0000 0.0000 0.0000
Ac1 0.0000 0.0000 0.3958
Al1 0.0156 0.5078 0.6360
Al2 0.0795 0.5398 0.7906
Pd1 0.0000 0.5000 0.5000

---

[3]
# GGA-PBE LiAc2Al3Pd4, optimized geometry
# Calculated formation energy = -778 meV per atom
# Volume = 208.2 Å³/f.u.
# Calculated density = 7.72 g/cm³
# Fermi-level density of states = 5.80 states/eV/cell
# E = -4.9911 eV per atom
data_LiAc2Al3Pd4
_chemical_formula_sum 'Li1 Ac2 Al3 Pd4'
_space_group_name_H-M_alt 'P -4 m 2'
_space_group_IT_number 115
_cell_length_a 4.455
_cell_length_b 4.455
_cell_length_c 10.490
_cell_angle_alpha 90.00
_cell_angle_beta 90.00
_cell_angle_gamma 90.00
loop_
_space_group_symop_operation_xyz
'x,y,z'
'y,-x,-z'
'-x,-y,z'
'-y,x,-z'
'-x,y,z'
'-y,-x,-z'
'x,-y,z'
'y,x,-z'
loop_
_atom_site_label
_atom_site_fract_x
_atom_site_fract_y
_atom_site_fract_z
Li1 0.000 0.000 0.000
Ac1 0.000 0.500 0.748
Al1 0.000 0.500 0.383
Al2 0.500 0.500 0.000
Pd1 0.000 0.000 0.500
Pd2 0.000 0.500 0.134
Pd3 0.500 0.500 0.500